# 1
## K2NaNb3O9 (PBEsol)

Data for a relaxed K2NaNb3O9 crystal.

total magnetization	0.00	Bohr magnetons per cell
ΔE_f (raw)	-2439	meV per atom
space-group type	No. 6
volume	389.1	Å³ per cell

Unit cell a=8.0581 b=3.9785 c=12.7704 alpha=90.00 beta=108.10 gamma=90.00
Element x y z (fractional)
K1 0.0000 0.0000 0.0000
K2 0.1664 0.0000 0.3326
K3 0.4990 0.0000 0.9997
K4 0.8329 0.0000 0.6652
Na1 0.3542 0.0000 0.6783
Na2 0.6865 0.0000 0.3460
Nb1 0.0083 0.5000 0.5037
Nb2 0.1740 0.5000 0.8356
Nb3 0.3419 0.5000 0.1713
Nb4 0.5062 0.5000 0.5030
Nb5 0.6727 0.5000 0.8359
Nb6 0.8384 0.5000 0.1712
O1 0.0714 0.5000 0.1620
O2 0.0743 0.5000 0.6592
O3 0.1546 0.0000 0.8234
O4 0.2375 0.5000 0.4919
O5 0.2396 0.5000 0.9920
O6 0.3188 0.0000 0.1589
O7 0.4041 0.5000 0.8232
O8 0.4090 0.5000 0.3270
O9 0.4868 0.0000 0.4923
O10 0.5667 0.5000 0.6594
O11 0.5715 0.5000 0.1596
O12 0.6477 0.0000 0.8225
O13 0.7376 0.5000 0.4927
O14 0.7385 0.5000 0.9922
O15 0.8180 0.0000 0.1600
O16 0.8988 0.5000 0.3269
O17 0.9043 0.5000 0.8252
O18 0.9804 0.0000 0.4893

# 2
## VReO4 (PBEsol)

Data for a relaxed VReO4 crystal.

total magnetization	0.02	Bohr magnetons per cell
ΔE_f (raw)	-1932	meV per atom
polymorph energy (0 for the lowest one)	0	meV per atom
space-group type	No. 71
volume	122.4	Å³ per cell

Unit cell a=5.4672 b=5.4672 c=5.4672 alpha=120.23 beta=105.39 gamma=103.36
Element x y z (fractional)
V1 0.0000 0.0000 0.0000
V2 0.0000 0.5000 0.5000
Re1 0.5000 0.2736 0.7736
Re2 0.5000 0.7264 0.2264
O1 0.2053 0.2577 0.4630
O2 0.2053 0.7423 0.9476
O3 0.2726 0.2726 0.0000
O4 0.3006 0.8006 0.5000
O5 0.6994 0.1994 0.5000
O6 0.7274 0.7274 0.0000
O7 0.7947 0.2577 0.0524
O8 0.7947 0.7423 0.5370

# 3
## TaV2 (PBEsol)

Data for a relaxed TaV2 crystal.

total magnetization	0.00	Bohr magnetons per cell
ΔE_f	-0.32	eV/f.u.
space-group type	No. 227
volume	87.6	Å³ per cell

Unit cell a=4.9845 b=4.9845 c=4.9845 alpha=60.00 beta=60.00 gamma=60.00
Element x y z (fractional)
Ta1 0.1250 0.1250 0.1250
Ta2 0.8750 0.8750 0.8750
V1 0.0000 0.5000 0.5000
V2 0.5000 0.0000 0.5000
V3 0.5000 0.5000 0.0000
V4 0.5000 0.5000 0.5000

# 4
## Rb3LaB (PBEsol)

Data for a relaxed Rb3LaB crystal.

total magnetization	2.26	Bohr magnetons per cell
ΔE_f	9.65	eV/f.u.
space-group type	No. 221
volume	331.0	Å³ per cell

Unit cell a=6.9175 b=6.9175 c=6.9175 alpha=90.00 beta=90.00 gamma=90.00
Element x y z (fractional)
Rb1 0.0000 0.0000 0.5000
Rb2 0.0000 0.5000 0.0000
Rb3 0.5000 0.0000 0.0000
La1 0.0000 0.0000 0.0000
B1 0.5000 0.5000 0.5000